Record 1
{
  "formula": "CdCuSiOs",
  "functional": "GGA-PBE",
  "state": "optimized geometry",
  "cell": [[0.0000, 3.0851, 3.0851], [3.0851, 0.0000, 3.0851], [3.0851, 3.0851, 0.0000]],
  "species": ["Cd", "Cu", "Si", "Os"],
  "fractional_positions": [[0.0000, 0.0000, 0.0000], [0.7500, 0.7500, 0.7500], [0.5000, 0.5000, 0.5000], [0.2500, 0.2500, 0.2500]],
  "relative_energy_mev_per_atom": 0,
  "magnetic_moment_mub_per_cell": 0.0,
  "spacegroup": "No. 216"
}

=====

Record 2
{
  "formula": "CdCuTcOs",
  "functional": "GGA-PBE",
  "state": "optimized geometry",
  "cell": [[0.0000, 3.1109, 3.1109], [3.1109, 0.0000, 3.1109], [3.1109, 3.1109, 0.0000]],
  "species": ["Cd", "Cu", "Tc", "Os"],
  "fractional_positions": [[0.0000, 0.0000, 0.0000], [0.7500, 0.7500, 0.7500], [0.2500, 0.2500, 0.2500], [0.5000, 0.5000, 0.5000]],
  "relative_energy_mev_per_atom": 0,
  "magnetic_moment_mub_per_cell": 0.0,
  "e_form_ev_per_atom": 0.4731,
  "spacegroup": "No. 216"
}

=====

Record 3
{
  "formula": "TlCdCuOs",
  "functional": "GGA-PBE",
  "state": "optimized geometry",
  "cell": [[0.0000, 3.2668, 3.2668], [3.2668, 0.0000, 3.2668], [3.2668, 3.2668, 0.0000]],
  "species": ["Tl", "Cd", "Cu", "Os"],
  "fractional_positions": [[0.0000, 0.0000, 0.0000], [0.5000, 0.5000, 0.5000], [0.2500, 0.2500, 0.2500], [0.7500, 0.7500, 0.7500]],
  "relative_energy_mev_per_atom": 0,
  "magnetic_moment_mub_per_cell": 0.0,
  "spacegroup": "No. 216"
}

=====

Record 4
{
  "formula": "Cd2CuP2S8",
  "functional": "GGA-PBE",
  "state": "optimized geometry",
  "cell": [[5.8446, 0.0000, 0.0000], [2.2395, 6.3382, 0.0000], [0.6357, 2.1606, 7.7200]],
  "species": ["Cd", "Cd", "Cu", "P", "P", "S", "S", "S", "S", "S", "S", "S", "S"],
  "fractional_positions": [[0.2214, 0.1718, 0.1436], [0.7786, 0.8282, 0.8564], [0.5000, 0.5000, 0.5000], [0.1461, 0.1939, 0.7053], [0.8539, 0.8061, 0.2947], [0.1564, 0.4220, 0.8303], [0.1898, 0.8169, 0.3580], [0.3023, 0.8881, 0.8669], [0.3100, 0.2660, 0.4716], [0.6900, 0.7340, 0.5284], [0.6977, 0.1119, 0.1331], [0.8102, 0.1831, 0.6420], [0.8436, 0.5780, 0.1697]],
  "final_energy_ev_per_atom": -4.04,
  "spacegroup": "No. 2"
}

=====

Record 5
{
  "formula": "PaCdCu",
  "functional": "GGA-PBE",
  "state": "optimized geometry",
  "cell": [[0.0000, 3.3890, 3.3890], [3.3890, 0.0000, 3.3890], [3.3890, 3.3890, 0.0000]],
  "species": ["Pa", "Cd", "Cu"],
  "fractional_positions": [[0.0000, 0.0000, 0.0000], [0.7500, 0.7500, 0.7500], [0.2500, 0.2500, 0.2500]],
  "relative_energy_mev_per_atom": 656,
  "magnetic_moment_mub_per_cell": 1.1,
  "e_form_ev_per_atom": 0.8923,
  "spacegroup": "No. 216"
}

=====

Record 6
{
  "formula": "PaCdCu",
  "functional": "GGA-PBE",
  "state": "optimized geometry",
  "cell": [[0.0000, 3.2237, 3.2237], [3.2237, 0.0000, 3.2237], [3.2237, 3.2237, 0.0000]],
  "species": ["Pa", "Cd", "Cu"],
  "fractional_positions": [[0.0000, 0.0000, 0.0000], [0.5000, 0.5000, 0.5000], [0.7500, 0.7500, 0.7500]],
  "relative_energy_mev_per_atom": 0,
  "magnetic_moment_mub_per_cell": 0.0,
  "e_form_ev_per_atom": 0.2360,
  "spacegroup": "No. 216"
}

=====

Record 7
{
  "formula": "ScCdCuPb",
  "functional": "GGA-PBE",
  "state": "optimized geometry",
  "cell": [[0.0000, 3.4599, 3.4599], [3.4599, 0.0000, 3.4599], [3.4599, 3.4599, 0.0000]],
  "species": ["Sc", "Cd", "Cu", "Pb"],
  "fractional_positions": [[0.0000, 0.0000, 0.0000], [0.7500, 0.7500, 0.7500], [0.5000, 0.5000, 0.5000], [0.2500, 0.2500, 0.2500]],
  "relative_energy_mev_per_atom": 0,
  "magnetic_moment_mub_per_cell": 0.0,
  "spacegroup": "No. 216"
}

=====

Record 8
{
  "formula": "ScCdCuPb",
  "functional": "GGA-PBE",
  "state": "optimized geometry",
  "cell": [[0.0000, 3.4831, 3.4831], [3.4831, 0.0000, 3.4831], [3.4831, 3.4831, 0.0000]],
  "species": ["Sc", "Cd", "Cu", "Pb"],
  "fractional_positions": [[0.0000, 0.0000, 0.0000], [0.2500, 0.2500, 0.2500], [0.7500, 0.7500, 0.7500], [0.5000, 0.5000, 0.5000]],
  "relative_energy_mev_per_atom": 55,
  "magnetic_moment_mub_per_cell": 0.0,
  "spacegroup": "No. 216"
}